(1)
Material: NdErGa2Ni4
Method: DFT, PBE-GGA
State: optimized geometry

The space group is P-6m2 (No. 187) and the conventional cell measures 4.1615, 4.1615 and 9.0369 Å, with angles of 90.00, 90.00 and 120.00 degrees. The inequivalent atoms are Nd at (0.0000, 0.0000, 0.0000), Er at (0.6667, 0.3333, 0.5000), Ga at (0.3333, 0.6667, 0.2602), Ni at (0.0000, 0.0000, 0.3212) and Ni at (0.6667, 0.3333, 0.2007).

The raw total energy comes out at -42.016 eV/cell.


(2)
Material: NdErGa2Pd4
Method: DFT, PBE-GGA
State: optimized geometry

The space group is P-6m2 (No. 187) and the conventional cell measures 4.4240, 4.4240 and 9.1504 Å, with angles of 90.00, 90.00 and 120.00 degrees. The inequivalent atoms are Nd at (0.0000, 0.0000, 0.0000), Er at (0.6667, 0.3333, 0.5000), Ga at (0.3333, 0.6667, 0.2558), Pd at (0.0000, 0.0000, 0.3369) and Pd at (0.6667, 0.3333, 0.1802).

The raw total energy comes out at -43.052 eV/cell.


(3)
Material: ErGa6Ni6
Method: DFT, PBE-GGA
State: optimized geometry

The space group is Immm (No. 71) and the conventional cell measures 5.016, 8.233 and 8.667 Å, with angles of 90.00, 90.00 and 90.00 degrees. The inequivalent atoms are Er at (0.000, 0.000, 0.000), Ga at (0.000, 0.000, 0.345), Ga at (0.000, 0.342, 0.000), Ga at (0.000, 0.500, 0.316), Ni at (0.000, 0.263, 0.500) and Ni at (0.250, 0.250, 0.250).

The raw total energy comes out at -125.065 eV/cell.


(4)
Material: Er3Ga5Ni
Method: DFT, PBE-GGA
State: optimized geometry

The space group is P-62m (No. 189) and the conventional cell measures 6.8335, 6.8335 and 4.1939 Å, with angles of 90.00, 90.00 and 120.00 degrees. The inequivalent atoms are Er at (0.0000, 0.5917, 0.0000), Ga at (0.0000, 0.2354, 0.5000), Ga at (0.3333, 0.6667, 0.5000) and Ni at (0.0000, 0.0000, 0.0000).

The raw total energy comes out at -40.441 eV/cell.


(5)
Material: ErGaNi3
Method: DFT, PBE-GGA
State: optimized geometry

The space group is Cm (No. 8) and the conventional cell measures 8.511, 5.240 and 3.700 Å, with angles of 90.00, 115.53 and 90.00 degrees. The inequivalent atoms are Er at (0.000, 0.000, 0.000), Ga at (0.395, 0.000, 0.393), Ni at (0.115, 0.500, 0.114) and Ni at (0.209, 0.237, 0.707).

The raw total energy comes out at -52.456 eV/cell.


(6)
Material: ErGaNiPd
Method: DFT, PBE-GGA
State: optimized geometry

The space group is P6_3mc (No. 186) and the conventional cell measures 4.2681, 4.2681 and 8.8279 Å, with angles of 90.00, 90.00 and 120.00 degrees. The inequivalent atoms are Er at (0.3333, 0.6667, 0.0000), Ga at (0.0000, 0.0000, 0.2659), Ni at (0.3333, 0.6667, 0.3265) and Pd at (0.3333, 0.6667, 0.6693).

The value obtained for the energy relative to the lowest polymorph listed for this composition is 0.02 eV/f.u.


(7)
Material: Er2Ga2Ni3Pd
Method: DFT, PBE-GGA
State: optimized geometry

The space group is P3m1 (No. 156) and the conventional cell measures 4.2002, 4.2002 and 8.7528 Å, with angles of 90.00, 90.00 and 120.00 degrees. The inequivalent atoms are Er at (0.0000, 0.0000, 0.0000), Er at (0.3333, 0.6667, 0.5129), Ga at (0.6667, 0.3333, 0.2752), Ga at (0.6667, 0.3333, 0.7566), Ni at (0.0000, 0.0000, 0.3350), Ni at (0.0000, 0.0000, 0.6886), Ni at (0.3333, 0.6667, 0.8248) and Pd at (0.3333, 0.6667, 0.1750).

The raw total energy comes out at -42.255 eV/cell.


(8)
Material: ErGaNiPd
Method: DFT, PBE-GGA
State: optimized geometry

The space group is P-6m2 (No. 187) and the conventional cell measures 4.2651, 4.2651 and 8.8684 Å, with angles of 90.00, 90.00 and 120.00 degrees. The inequivalent atoms are Er at (0.0000, 0.0000, 0.0000), Er at (0.3333, 0.6667, 0.5000), Ga at (0.6667, 0.3333, 0.2683), Ni at (0.0000, 0.0000, 0.3280) and Pd at (0.3333, 0.6667, 0.1727).

The value obtained for the energy relative to the lowest polymorph listed for this composition is 0.02 eV/f.u.